No. 1
VASP calculation (GGA-PBE) on a geometry-optimized Zn2GeBiP structure.

Polymorph energy (0 for the lowest one) (meV per atom): 87

abc: 4.607 4.607 5.829
angles: 90.00 90.00 90.00
Space group P4/mmm (No. 123)
Symmetry-distinct sites (fractional):
Zn1 0.000 0.500 0.000 (multiplicity 2)
Ge1 0.000 0.000 0.000 (multiplicity 1)
Bi1 0.000 0.000 0.500 (multiplicity 1)
P1 0.500 0.500 0.500 (multiplicity 1)

No. 2
VASP calculation (GGA-PBE) on a geometry-optimized Pa5Ge2Bi2 structure.

abc: 15.575 7.809 7.794
angles: 90.00 90.00 90.00
Space group Cmce (No. 64)
Symmetry-distinct sites (fractional):
Pa1 0.000 0.000 0.000 (multiplicity 4)
Pa2 0.119 0.174 0.323 (multiplicity 16)
Ge1 0.000 0.125 0.625 (multiplicity 8)
Bi1 0.215 0.000 0.000 (multiplicity 8)

No. 3
VASP calculation (GGA-PBE) on a geometry-optimized PaGe2Bi structure.

Polymorph energy (0 for the lowest one) (meV per atom): 0

abc: 4.644 4.644 4.194
angles: 90.00 90.00 90.00
Space group P4/mmm (No. 123)
Symmetry-distinct sites (fractional):
Pa1 0.000 0.000 0.000 (multiplicity 1)
Ge1 0.000 0.500 0.500 (multiplicity 2)
Bi1 0.500 0.500 0.000 (multiplicity 1)

Record order is preserved below.
DFT total energy: -13.59; -267.09; -23.64 eV for the cell shown